10
Lattice="7.6302 -2.5041 0.0000 7.6302 2.5041 0.0000 -0.0065 0.0000 6.9479" Properties=species:S:1:pos:R:3 comment="Tb5CeGe4 | Alexandria via LeMat-Bulk | PBE-GGA | optimized geometry" dos_ef_per_ev_cell=11.24 total_magnetization_mub_per_fu=1.02 e_tot_ev_per_atom=-5.37 ef_ev_per_atom=-0.6157 vol_a3_per_fu=265.5 pbc="T T T"
Tb 0.0000 0.0000 0.0000
Tb 5.1125 0.0000 3.4966
Tb 5.1114 0.0000 6.8539
Tb 10.1426 0.0000 0.0941
Tb 10.1414 0.0000 3.4514
Ce -0.0033 0.0000 3.4740
Ge 2.7495 0.0000 1.7282
Ge 7.4666 0.0000 1.6990
Ge 7.7874 0.0000 5.2489
Ge 12.5045 0.0000 5.2197

4
Lattice="1.6631 0.9602 10.7951 -1.6631 0.9602 10.7951 0.0000 -1.9204 10.7951" Properties=species:S:1:pos:R:3 comment="TmPaIn2 | Alexandria via LeMat-Bulk | PBE-GGA | optimized geometry" dos_ef_per_ev_cell=6.26 total_magnetization_mub_per_fu=0.00 e_tot_ev_per_atom=-4.98 e_above_lowest_polymorph_ev_per_atom=0.0748 ef_ev_per_atom=-0.1215 vol_a3_per_fu=103.4 pbc="T T T"
Tm 0.0000 0.0000 0.0000
Pa 0.0000 0.0000 16.1926
In 0.0000 0.0000 8.1496
In 0.0000 0.0000 24.2356

14
Lattice="5.8783 0.0000 0.0000 0.0000 5.8540 0.0000 -2.1196 0.0000 7.8623" Properties=species:S:1:pos:R:3 comment="RbBeTlF4 | Alexandria via LeMat-Bulk | PBE-GGA | optimized geometry" dos_ef_per_ev_cell=0.00 formation_energy_uncorrected_ev_per_fu=-19.322 total_magnetization_mub_per_fu=0.00 e_tot_ev_per_atom=-4.84 vol_a3_per_fu=135.3 pbc="T T T"
Rb 1.2257 1.4635 0.1584
Rb 2.5330 4.3905 7.7039
Be -0.4554 4.3905 6.0713
Be 4.2140 1.4635 1.7910
Tl 0.5177 1.4635 4.2895
Tl 3.2409 4.3905 3.5728
F -1.2930 3.1235 5.6397
F -1.2930 5.6575 5.6397
F -0.3278 4.3905 7.6328
F 0.9431 4.3905 5.3840
F 2.8156 1.4635 2.4783
F 4.0865 1.4635 0.2295
F 5.0517 0.1965 2.2226
F 5.0517 2.7305 2.2226

4
Lattice="-2.0938 2.0938 4.7910 2.0938 -2.0938 4.7910 2.0938 2.0938 -4.7910" Properties=species:S:1:pos:R:3 comment="ScSb2Mo | Alexandria via LeMat-Bulk | PBE-GGA | optimized geometry" dos_ef_per_ev_cell=3.45 formation_energy_uncorrected_ev_per_fu=0.016 total_magnetization_mub_per_fu=1.57 e_tot_ev_per_atom=-6.35 e_above_lowest_polymorph_ev_per_atom=0.2152 vol_a3_per_fu=84.0 pbc="T T T"
Sc 0.0000 0.0000 0.0000
Sb 0.0000 0.0000 4.7910
Sb 0.0000 2.0938 2.3955
Mo 2.0938 0.0000 2.3955